Here is a relaxed structure of La5Sm5Ho2 from the Alexandria database. Energies are from PBE.

Energy relative to the elements in eV/f.u.: 0.281
Total moment in μB per formula unit: 0.00
Space-group type: No. 12

```
La5Sm5Ho2
1.0
7.815 -2.599 0.000
7.815 2.599 0.000
-5.190 0.000 10.295
La Sm Ho
5 5 2
Cartesian
0.000 0.000 0.000
-2.604 0.000 7.687
2.579 0.000 2.610
7.859 0.000 7.685
13.043 0.000 2.608
5.199 0.000 0.005
2.612 0.000 7.673
5.219 0.000 5.148
7.827 0.000 2.623
5.240 0.000 10.291
0.027 0.000 5.145
10.412 0.000 5.151
```